DFT (PBE with a Hubbard U) results for Mn2TlGeO after structural relaxation.

Calculated values
The space group is No. 123. The calculation puts the density of states at the Fermi level at 0.17 states/eV/atom. For the total DFT energy (no corrections), the calculation gives -0.172 hartree per atom.

Cell lengths 4.8974, 4.8974, 5.4857 Å; angles 90.00, 90.00, 90.00 degrees
Site moments in Bohr magnetons follow the coordinates.
Element x y z (fractional)
Tl1 0.0000 0.0000 0.5000  0.00
Mn1 0.5000 0.0000 0.0000  4.53
O1 0.5000 0.5000 0.5000  0.46
Mn2 0.0000 0.5000 0.0000  4.53
Ge1 0.0000 0.0000 0.0000  -0.11